(1)
An optimized crystal structure of LiZr. Source: Alexandria via LeMat-Bulk, functional PBE-GGA.

POSCAR file:
```
LiZr
1.0
9.287 0.000 0.000
0.000 9.287 0.000
0.000 0.000 9.287
Li Zr
8 8
Direct
0.197 0.197 0.197
0.197 0.803 0.803
0.803 0.197 0.803
0.803 0.803 0.197
0.697 0.697 0.697
0.697 0.303 0.303
0.303 0.697 0.303
0.303 0.303 0.697
0.393 0.393 0.393
0.393 0.607 0.607
0.607 0.393 0.607
0.607 0.607 0.393
0.893 0.893 0.893
0.893 0.107 0.107
0.107 0.893 0.107
0.107 0.107 0.893
```

Summary:
* E_form: 2.6 eV per formula unit
* ΔE to the lowest computed polymorph: 1225 meV per atom
* SG: I-43m, No. 217

(2)
An optimized crystal structure of HfScFe. Source: Alexandria via LeMat-Bulk, functional PBE-GGA.

POSCAR file:
```
HfScFe
1.0
-4.197 -1.129 0.715
2.118 -3.638 6.685
-0.889 5.317 3.175
Sc Fe Hf
4 4 4
Direct
0.750 0.183 0.017
0.250 0.683 0.483
0.250 0.817 0.983
0.750 0.317 0.517
0.750 0.910 0.245
0.250 0.410 0.255
0.250 0.090 0.755
0.750 0.590 0.745
0.750 0.578 0.148
0.250 0.078 0.352
0.250 0.422 0.852
0.750 0.922 0.648
```

Summary:
* E_form: -0.3 eV per formula unit
* ΔE to the lowest computed polymorph: 0 meV per atom
* SG: Pnma, No. 62

(3)
An optimized crystal structure of RbCoSeN2. Source: Alexandria via LeMat-Bulk, functional PBE-GGA.

POSCAR file:
```
RbCoSeN2
1.0
4.976 0.000 0.000
0.000 4.976 0.000
0.000 0.000 6.788
Co Se Rb N
1 1 1 2
Direct
0.500 0.500 0.500
0.000 0.000 0.500
0.000 0.000 0.000
0.000 0.500 0.000
0.500 0.000 0.000
```

Summary:
* E_form (uncorrected): 260 kJ/mol of atoms
* ΔE to the lowest computed polymorph: 1640 meV per atom
* SG: P4/mmm, No. 123

(4)
An optimized crystal structure of CaY3Ta. Source: Alexandria via LeMat-Bulk, functional PBE-GGA.

POSCAR file:
```
CaY3Ta
1.0
-2.314 4.772 1.788
-3.875 -2.923 2.786
3.310 -0.086 4.512
Y Ca Ta
3 1 1
Direct
0.000 0.500 0.000
0.000 0.000 0.500
0.500 0.000 0.000
0.500 0.500 0.500
0.000 0.000 0.000
```

Summary:
* E_form: 2.4 eV per formula unit
* ΔE to the lowest computed polymorph: 0 meV per atom
* SG: Pm-3m, No. 221

(5)
An optimized crystal structure of TaMoOs2. Source: Alexandria via LeMat-Bulk, functional PBE-GGA.

POSCAR file:
```
TaMoOs2
1.0
9.401 0.042 0.025
8.975 2.797 0.025
8.975 1.386 2.429
Mo Os Ta
1 2 1
Direct
0.750 0.750 0.750
0.002 0.002 0.002
0.498 0.498 0.498
0.250 0.250 0.250
```

Summary:
* E_form: 0.5 eV per formula unit
* ΔE to the lowest computed polymorph: 155 meV per atom
* SG: R-3m, No. 166

(6)
An optimized crystal structure of Rb2H3I. Source: Alexandria via LeMat-Bulk, functional PBE-GGA.

POSCAR file:
```
Rb2H3I
1.0
7.255 0.387 -1.079
-0.487 7.249 -1.079
-2.282 -2.574 8.415
Rb H I
4 6 2
Direct
0.210 0.359 0.240
0.641 0.790 0.260
0.790 0.641 0.760
0.359 0.210 0.740
0.637 0.500 0.389
0.500 0.363 0.111
0.363 0.500 0.611
0.500 0.637 0.889
0.574 0.426 0.250
0.426 0.574 0.750
0.135 0.865 0.250
0.865 0.135 0.750
```

Summary:
* ΔE to the lowest computed polymorph: 0 meV per atom
* SG: C2/c, No. 15

(7)
An optimized crystal structure of TiGe2W. Source: Alexandria via LeMat-Bulk, functional PBE-GGA.

POSCAR file:
```
TiGe2W
1.0
-5.525 -1.351 0.816
0.951 -5.220 -2.204
-1.012 -5.295 4.615
Ge W Ti
4 2 2
Direct
0.639 0.125 0.250
0.111 0.625 0.250
0.375 0.361 0.750
0.875 0.889 0.750
0.000 0.000 0.000
0.750 0.250 0.500
0.500 0.500 0.000
0.250 0.750 0.500
```

Summary:
* E_form: 3.9 eV per formula unit
* ΔE to the lowest computed polymorph: 962 meV per atom
* SG: I-42d, No. 122

(8)
An optimized crystal structure of Ce2TaBeN5. Source: Alexandria via LeMat-Bulk, functional PBE-GGA.

POSCAR file:
```
Ce2TaBeN5
1.0
3.224 0.000 0.000
-1.612 6.723 0.000
0.000 0.000 9.914
Ce Ta Be N
4 2 2 10
Direct
0.875 0.749 0.830
0.113 0.227 0.690
0.125 0.251 0.330
0.887 0.773 0.190
0.808 0.615 0.518
0.192 0.385 0.018
0.544 0.087 0.942
0.456 0.913 0.442
0.346 0.692 0.014
0.687 0.374 0.876
0.496 0.993 0.781
0.300 0.599 0.660
0.962 0.925 0.512
0.654 0.308 0.514
0.313 0.626 0.376
0.504 0.007 0.281
0.700 0.401 0.160
0.038 0.075 0.012
```

Summary:
* E_form (uncorrected): -114 kJ/mol of atoms
* SG: Cmc2_1, No. 36

(9)
An optimized crystal structure of K2MoP. Source: Alexandria via LeMat-Bulk, functional PBE-GGA.

POSCAR file:
```
K2MoP
1.0
-1.487 -2.516 -4.116
-6.608 -2.808 4.104
-7.949 1.249 2.109
K Mo P
2 1 1
Direct
0.000 0.872 0.875
0.000 0.628 0.625
0.500 0.250 0.250
0.500 0.750 0.750
```

Summary:
* E_form: 1.9 eV per formula unit
* SG: P2/m, No. 10

(10)
An optimized crystal structure of ZnSiHg2. Source: Alexandria via LeMat-Bulk, functional PBE-GGA.

POSCAR file:
```
ZnSiHg2
1.0
-0.114 -0.082 5.278
1.047 -4.909 1.640
2.537 3.161 -3.384
Hg Si Zn
2 1 1
Direct
0.000 0.000 0.000
0.250 0.750 0.500
0.500 0.500 0.000
0.750 0.250 0.500
```

Summary:
* E_form (uncorrected): 39 kJ/mol of atoms
* ΔE to the lowest computed polymorph: 169 meV per atom
* SG: I-4m2, No. 119

(11)
An optimized crystal structure of La2TiTl3S6. Source: Alexandria via LeMat-Bulk, functional PBE-GGA.

POSCAR file:
```
La2TiTl3S6
1.0
7.045 0.005 -0.003
-3.516 6.105 -0.003
-1.180 -2.042 7.456
La Ti Tl S
2 1 3 6
Direct
0.335 0.665 0.000
0.665 0.335 0.000
0.000 0.000 0.000
0.170 0.830 0.500
0.830 0.170 0.500
0.500 0.500 0.500
0.936 0.638 0.807
0.767 0.767 0.207
0.064 0.362 0.193
0.638 0.936 0.807
0.233 0.233 0.793
0.362 0.064 0.193
```

Summary:
* E_form (uncorrected): -124 kJ/mol of atoms
* SG: C2/m, No. 12

(12)
An optimized crystal structure of TaMnSe3. Source: Alexandria via LeMat-Bulk, functional PBE-GGA.

POSCAR file:
```
TaMnSe3
1.0
-4.253 -0.847 -2.579
-2.515 -0.575 4.336
-1.022 4.940 0.062
Mn Se Ta
1 3 1
Direct
0.500 0.500 0.500
0.000 0.500 0.000
0.000 0.000 0.500
0.500 0.000 0.000
0.000 0.000 0.000
```

Summary:
* E_form (uncorrected): 10 kJ/mol of atoms
* ΔE to the lowest computed polymorph: 472 meV per atom
* SG: Pm-3m, No. 221

(13)
An optimized crystal structure of VFeRe2Pd. Source: Alexandria via LeMat-Bulk, functional PBE-GGA.

POSCAR file:
```
VFeRe2Pd
1.0
4.462 0.000 0.000
0.000 4.226 0.000
0.000 0.000 4.462
Re Fe Pd V
2 1 1 1
Direct
0.000 0.000 0.500
0.500 0.000 0.000
0.000 0.500 0.000
0.500 0.500 0.500
0.000 0.000 0.000
```

Summary:
* E_form: 7.2 eV per formula unit
* SG: P4/mmm, No. 123

(14)
An optimized crystal structure of ReSiP2. Source: Alexandria via LeMat-Bulk, functional PBE-GGA.

POSCAR file:
```
ReSiP2
1.0
4.197 0.018 0.024
-1.114 4.047 0.024
1.133 1.493 3.545
P Re Si
2 1 1
Direct
0.000 0.000 0.000
0.500 0.500 0.000
0.500 0.000 0.500
0.000 0.500 0.500
```

Summary:
* E_form (uncorrected): 38 kJ/mol of atoms
* SG: C2/m, No. 12

(15)
An optimized crystal structure of AsIr2. Source: Alexandria via LeMat-Bulk, functional PBE-GGA.

POSCAR file:
```
AsIr2
1.0
-3.660 2.677 -1.332
-1.311 -2.737 3.623
1.335 3.308 2.982
As Ir
2 4
Direct
0.266 0.266 0.750
0.734 0.734 0.250
0.832 0.430 0.750
0.168 0.570 0.250
0.430 0.832 0.750
0.570 0.168 0.250
```

Summary:
* E_form: 0.5 eV per formula unit
* SG: Cmcm, No. 63

(16)
An optimized crystal structure of CaNiPb2. Source: Alexandria via LeMat-Bulk, functional PBE-GGA.

POSCAR file:
```
CaNiPb2
1.0
5.201 0.000 0.000
2.600 4.504 0.000
2.600 1.501 4.246
Pb Ni Ca
2 1 1
Direct
0.000 0.000 0.000
0.250 0.250 0.250
0.750 0.750 0.750
0.500 0.500 0.500
```

Summary:
* E_form: 0.3 eV per formula unit
* SG: F-43m, No. 216

(17)
An optimized crystal structure of La4GePN. Source: Alexandria via LeMat-Bulk, functional PBE-GGA.

POSCAR file:
```
La4GePN
1.0
-1.524 -4.494 -4.953
-1.739 -4.621 4.727
-6.755 4.941 2.345
La Ge P N
8 2 2 2
Direct
0.926 0.250 0.851
0.423 0.750 0.846
0.074 0.750 0.149
0.577 0.250 0.154
0.500 0.500 0.500
0.000 0.000 0.500
0.500 0.000 0.500
0.000 0.500 0.500
0.612 0.750 0.224
0.388 0.250 0.776
0.117 0.250 0.234
0.883 0.750 0.766
0.226 0.750 0.452
0.774 0.250 0.548
```

Summary:
* E_form (uncorrected): -96 kJ/mol of atoms
* SG: Cmcm, No. 63

(18)
An optimized crystal structure of PrDy4Ir4. Source: Alexandria via LeMat-Bulk, functional PBE-GGA.

POSCAR file:
```
PrDy4Ir4
1.0
-5.460 -1.164 0.875
0.529 -6.847 -5.809
2.256 -5.531 6.725
Pr Dy Ir
2 8 8
Direct
0.000 0.000 0.000
0.500 0.500 0.500
0.394 0.334 0.905
0.894 0.595 0.834
0.394 0.666 0.095
0.106 0.166 0.595
0.606 0.905 0.666
0.106 0.834 0.405
0.894 0.405 0.166
0.606 0.095 0.334
0.605 0.786 0.364
0.605 0.214 0.636
0.105 0.864 0.714
0.895 0.286 0.864
0.895 0.714 0.136
0.395 0.364 0.214
0.395 0.636 0.786
0.105 0.136 0.286
```

Summary:
* E_form: -5.6 eV per formula unit
* SG: P4_2/n, No. 86

(19)
An optimized crystal structure of TbPaHgPt. Source: Alexandria via LeMat-Bulk, functional PBE-GGA.

POSCAR file:
```
TbPaHgPt
1.0
5.110 0.000 0.000
2.555 4.425 0.000
2.555 1.475 4.172
Pa Tb Hg Pt
1 1 1 1
Direct
0.500 0.500 0.500
0.000 0.000 0.000
0.750 0.750 0.750
0.250 0.250 0.250
```

Summary:
* E_form: -1.8 eV per formula unit
* SG: F-43m, No. 216

(20)
An optimized crystal structure of LaCeErGa. Source: Alexandria via LeMat-Bulk, functional PBE-GGA.

POSCAR file:
```
LaCeErGa
1.0
-0.807 5.338 -0.425
-4.444 2.245 2.129
0.395 3.156 4.383
La Ga Ce Er
1 1 1 1
Direct
0.250 0.250 0.250
0.500 0.500 0.500
0.750 0.750 0.750
0.000 0.000 0.000
```

Summary:
* E_form: -0.3 eV per formula unit
* SG: F-43m, No. 216